BaAs2W | PBE | relaxed

Unit cell a=3.048 b=5.478 c=5.465 alpha=90.00 beta=90.13 gamma=90.00
Element x y z (fractional)
Ba (0.000, 0.000, 0.000)
As (0.500, 0.000, 0.500)
As (0.500, 0.500, 0.000)
W (0.000, 0.500, 0.500)

Properties
**N(E_F)**: 3.70 states/eV/f.u.
**Distance to the lowest polymorph of the same formula**: 0.8398 eV/atom
**Total moment**: 0.415 μB/atom
**Space group**: P2/m, No. 10
**DFT formation energy**: 0.6004 eV/atom